[1]
Crystalline GaAuSeN2 at its relaxed geometry, computed with PBE.

Computed properties:
For the total energy, the calculation gives -4.067 eV per atom. As for the raw formation energy: 6.1 eV per formula unit. For the distance to the lowest polymorph of the same formula, the calculation gives 0.0 kJ/mol of formula units. The space group is No. 123.

abc: 3.8624 3.8624 5.8010
angles: 90.00 90.00 90.00
With the nearest neighbours (Å) after each atom.
Atoms (fractional coordinates):
Ga 0.0000 0.0000 0.0000  4 N 1.93
Au 0.5000 0.5000 0.5000  4 Se 2.73
Se 0.0000 0.0000 0.5000  4 Au 2.73, 2 Ga 2.90
N 0.0000 0.5000 0.0000  2 Ga 1.93
N 0.5000 0.0000 0.0000  2 Ga 1.93

***

[2]
Crystalline Cs3TiF at its relaxed geometry, computed with PBE.

Computed properties:
For the total energy, the calculation gives -2.818 eV per atom. As for the raw formation energy: -1.8 eV per formula unit. For the distance to the lowest polymorph of the same formula, the calculation gives 0.0 kJ/mol of formula units. The space group is No. 221.

abc: 6.1589 6.1589 6.1589
angles: 90.00 90.00 90.00
With the nearest neighbours (Å) after each atom.
Atoms (fractional coordinates):
Cs 0.0000 0.0000 0.5000  2 F 3.08
Cs 0.0000 0.5000 0.0000  2 F 3.08
Cs 0.5000 0.0000 0.0000  2 F 3.08
Ti 0.5000 0.5000 0.5000  12 Cs 4.36
F 0.0000 0.0000 0.0000  6 Cs 3.08

***

[3]
Crystalline CrBr2Cl at its relaxed geometry, computed with PBE.

Computed properties:
For the total energy, the calculation gives -4.376 eV per atom. As for the raw formation energy: -2.7 eV per formula unit. For the distance to the lowest polymorph of the same formula, the calculation gives 38.0 kJ/mol of formula units. The space group is No. 8.

abc: 6.7223 6.7223 6.9311
angles: 119.04 119.04 28.48
With the nearest neighbours (Å) after each atom.
Atoms (fractional coordinates):
Cr 0.0000 0.0000 0.0000  2 Cl 2.40, 4 Br 2.55
Br 0.3490 0.3490 0.7242  2 Cr 2.55
Br 0.4981 0.4981 0.2780  2 Cr 2.55
Cl 0.6328 0.6328 0.9979  2 Cr 2.40

***

[4]
Crystalline Tb2Pr3Te8 at its relaxed geometry, computed with PBE.

Computed properties:
For the total energy, the calculation gives -5.000 eV per atom. As for the raw formation energy: -16.3 eV per formula unit. The space group is No. 12.

abc: 9.0029 9.0029 7.6938
angles: 106.50 106.50 59.48
With the nearest neighbours (Å) after each atom.
Atoms (fractional coordinates):
Tb 0.2495 0.2495 0.1657  6 Te 3.05-3.17
Tb 0.7505 0.7505 0.8343  6 Te 3.05-3.17
Pr 0.2404 0.7596 0.5000  6 Te 3.14-3.21
Pr 0.5000 0.5000 0.0000  6 Te 3.17-3.21
Pr 0.7596 0.2404 0.5000  6 Te 3.14-3.21
Te 0.1185 0.1185 0.3856  1 Tb 3.05, 2 Pr 3.14
Te 0.1262 0.6208 0.0829  2 Tb 3.14-3.17, 2 Pr 3.17
Te 0.3747 0.3747 0.5761  1 Tb 3.12, 3 Pr 3.21
Te 0.3792 0.8738 0.9171  2 Tb 3.14-3.17, 2 Pr 3.17
Te 0.6208 0.1262 0.0829  2 Tb 3.14-3.17, 2 Pr 3.17
Te 0.6253 0.6253 0.4239  1 Tb 3.12, 3 Pr 3.21
Te 0.8738 0.3792 0.9171  2 Tb 3.14-3.17, 2 Pr 3.17
Te 0.8815 0.8815 0.6144  1 Tb 3.05, 2 Pr 3.14

***

Question: What is the formula in the fourth record?
Answer: Tb2Pr3Te8